A geometry-optimized CaFeRh2 structure. Source: the Alexandria database, functional PBE.

crystal system = cubic
energy relative to the elements = 185 meV/atom
relative energy among the computed polymorphs = 0.317 eV per atom
total energy = -6.1063 eV per atom
spin magnetization = 15.9 μB/cell

Cell and atoms, written as CIF:
```
data_CaFeRh2
_chemical_formula_sum 'Ca4 Fe4 Rh8'
_symmetry_space_group_name_H-M 'F -4 3 m'
_symmetry_Int_Tables_number 216
_symmetry_space_group_name_Hall 'F -4 2 3'
_cell_length_a 6.393
_cell_length_b 6.393
_cell_length_c 6.393
_cell_angle_alpha 90.00
_cell_angle_beta 90.00
_cell_angle_gamma 90.00
loop_
_atom_site_label
_atom_site_fract_x
_atom_site_fract_y
_atom_site_fract_z
Ca1 0.000 0.000 0.000
Fe1 0.250 0.250 0.750
Rh1 0.000 0.000 0.500
Rh2 0.250 0.250 0.250
```